This record from Alexandria describes a relaxed structure of Ba3In2P4. The functional is PBEsol.

Cell and atoms, written as POSCAR:
```
Ba3In2P4
1.0
7.033 0.009 0.007
-0.007 8.820 -0.001
-0.007 2.186 8.545
P Ba In
8 6 4
Cartesian
0.460 6.666 6.356
0.185 8.933 2.477
3.043 3.199 3.665
3.318 6.395 0.507
6.835 2.081 6.073
3.976 7.815 4.886
3.702 4.619 8.044
6.560 4.348 2.194
0.312 4.392 8.495
6.708 6.622 0.056
5.268 4.854 5.121
3.191 1.691 6.398
3.828 9.323 2.153
1.752 6.160 3.430
0.590 2.448 3.581
4.107 4.081 1.487
2.913 6.933 7.063
6.430 8.566 4.969
```

---

This record from Alexandria describes a relaxed structure of BaInP. The functional is PBEsol.

Cell and atoms, written as POSCAR:
```
BaInP
1.0
-1.528 2.401 3.219
-2.659 -2.508 -2.259
0.941 -4.265 3.628
Ba In P
1 1 1
Cartesian
0.038 -0.173 0.147
-1.733 -3.359 1.683
-1.550 -0.841 2.758
```

---

This record from Alexandria describes a relaxed structure of BaIn3Pb. The functional is PBEsol.

Cell and atoms, written as POSCAR:
```
BaIn3Pb
1.0
5.745 0.000 0.000
0.000 5.745 0.000
0.000 0.000 5.745
In Ba Pb
3 1 1
Cartesian
2.873 0.000 0.000
0.000 0.000 2.873
0.000 2.873 0.000
2.873 2.873 2.873
0.000 0.000 0.000
```

---

This record from Alexandria describes a relaxed structure of Ba2InPb2. The functional is PBEsol.

Cell and atoms, written as POSCAR:
```
Ba2InPb2
1.0
5.727 0.000 0.000
0.000 5.727 0.000
-2.863 -2.863 6.611
In Ba Pb
1 2 2
Cartesian
0.000 0.000 0.000
2.863 0.000 3.306
0.000 2.863 3.306
0.000 0.000 5.232
2.863 2.863 1.379
```

Values from the calculation:
Relative energy among the computed polymorphs ... 0.483 eV per atom

---

This record from Alexandria describes a relaxed structure of BaInPb3. The functional is PBEsol.

Cell and atoms, written as POSCAR:
```
BaInPb3
1.0
-2.440 2.407 -4.579
-4.281 -3.783 0.292
-2.906 3.552 3.415
Pb Ba In
3 1 1
Cartesian
-1.453 1.776 1.708
-1.220 1.204 -2.290
-2.140 -1.892 0.146
-4.813 1.088 -0.436
0.000 0.000 0.000
```

---

This record from Alexandria describes a relaxed structure of BaInPb2. The functional is PBEsol.

Cell and atoms, written as POSCAR:
```
BaInPb2
1.0
4.872 0.000 0.000
0.000 5.037 0.000
0.000 0.000 5.037
Ba Pb In
1 2 1
Cartesian
2.436 2.518 2.518
0.000 0.000 2.518
0.000 2.518 0.000
2.436 0.000 0.000
```

---

This record from Alexandria describes a relaxed structure of BaIn2Pb. The functional is PBEsol.

Cell and atoms, written as POSCAR:
```
BaIn2Pb
1.0
4.703 0.000 0.000
-2.351 4.635 -0.049
0.000 -2.170 5.951
In Pb Ba
2 1 1
Cartesian
0.000 0.706 4.595
2.351 2.485 5.371
2.351 -1.098 3.401
2.351 1.752 1.413
```

---

This record from Alexandria describes a relaxed structure of BaInPb2. The functional is PBEsol.

Cell and atoms, written as POSCAR:
```
BaInPb2
1.0
4.607 0.000 0.000
-2.303 5.055 -0.004
0.000 -2.069 5.704
Pb In Ba
2 1 1
Cartesian
0.000 0.007 0.064
0.000 0.966 4.663
2.303 2.027 0.997
0.000 4.008 2.825
```

---

This record from Alexandria describes a relaxed structure of Ba3InPb. The functional is PBEsol.

Cell and atoms, written as POSCAR:
```
Ba3InPb
1.0
6.588 0.000 0.000
0.000 6.588 0.000
0.000 0.000 6.588
Ba Pb In
3 1 1
Cartesian
0.000 0.000 3.294
0.000 3.294 0.000
3.294 0.000 0.000
0.000 0.000 0.000
3.294 3.294 3.294
```

Values from the calculation:
Relative energy among the computed polymorphs ... 0.000 eV per atom

---

This record from Alexandria describes a relaxed structure of BaInPb2. The functional is PBEsol.

Cell and atoms, written as POSCAR:
```
BaInPb2
1.0
-4.012 0.672 2.042
2.496 -4.744 1.392
2.472 4.365 3.419
Pb Ba In
2 1 1
Cartesian
0.670 -1.327 1.753
0.286 1.621 5.100
1.236 2.183 1.709
-2.006 0.336 1.021
```

---

This record from Alexandria describes a relaxed structure of BaInPb4. The functional is PBEsol.

Cell and atoms, written as POSCAR:
```
BaInPb4
1.0
6.487 0.000 0.000
3.244 5.618 0.000
3.244 1.873 5.297
In Ba Pb
1 1 4
Cartesian
0.000 0.000 0.000
9.731 5.618 3.973
8.103 2.813 1.989
4.872 2.813 1.989
6.487 5.611 1.989
6.487 3.745 4.627
```

---

This record from Alexandria describes a relaxed structure of BaInPb. The functional is PBEsol.

Cell and atoms, written as POSCAR:
```
BaInPb
1.0
3.803 0.000 0.000
0.000 4.070 0.000
-1.901 -2.035 6.328
Pb In Ba
1 1 1
Cartesian
0.000 0.000 3.903
1.901 2.035 2.391
0.000 0.000 0.035
```

---

Number 1: total magnetic moment 0.00 μB per atom, uncorrected energy -4.74 eV/atom. Number 2: total magnetic moment 0.00 μB per atom, uncorrected energy -4.29 eV/atom. Number 3: total magnetic moment 0.00 μB per atom, uncorrected energy -2.87 eV/atom. Number 4: total magnetic moment 0.00 μB per atom, uncorrected energy -3.05 eV/atom. Number 5: total magnetic moment 0.00 μB per atom, uncorrected energy -3.39 eV/atom. Number 6: total magnetic moment 0.00 μB per atom, uncorrected energy -3.63 eV/atom. Number 7: total magnetic moment 0.00 μB per atom, uncorrected energy -3.37 eV/atom. Number 8: total magnetic moment 0.00 μB per atom, uncorrected energy -3.60 eV/atom. Number 9: total magnetic moment 0.50 μB per atom, uncorrected energy -2.67 eV/atom. Number 10: total magnetic moment 0.00 μB per atom, uncorrected energy -3.61 eV/atom. Number 11: total magnetic moment 0.00 μB per atom, uncorrected energy -3.72 eV/atom. Number 12: total magnetic moment 0.00 μB per atom, uncorrected energy -3.41 eV/atom.